A plane-wave DFT calculation with GGA-PBE was carried out for crystalline B2PtW at its relaxed geometry.

Values from the calculation:
Volume (Å³/f.u.): 44
Offset from the most stable computed form (meV/atom): 0.0
Spin magnetization (μB/f.u.): 0.00

```
4
Lattice="0.0000 2.8009 2.8009 2.8009 0.0000 2.8009 2.8009 2.8009 0.0000" Properties=species:S:1:pos:R:3 pbc="T T T"
B 1.4004 1.4004 1.4004
B 4.2013 4.2013 4.2013
W 0.0000 0.0000 0.0000
Pt 2.8009 2.8009 2.8009
```